LiAs2Os: optimized geometry, GGA-PBEsol.

```
LiAs2Os
1.0
2.990 0.000 0.000
0.000 2.990 0.000
0.000 0.000 6.980
As Os Li
2 1 1
Cartesian
0.000 0.000 1.925
0.000 0.000 5.055
1.495 1.495 3.490
1.495 1.495 0.000
```

Summary:
Calculated formation energy ... -0.105 eV/atom
SG ... P4/mmm
M_tot ... 0.0 μB/cell
Distance to the lowest polymorph of the same formula ... 0.000 eV per atom
Crystal system ... tetragonal



Li2AsOs: optimized geometry, GGA-PBEsol.

```
Li2AsOs
1.0
3.405 0.000 0.000
0.000 3.908 0.000
-1.703 -1.954 3.710
Li As Os
2 1 1
Cartesian
0.000 0.000 0.052
1.703 0.000 1.791
0.000 1.954 1.875
0.000 0.000 3.701
```

Summary:
Calculated formation energy ... -0.086 eV/atom
SG ... Imm2
M_tot ... 0.0 μB/cell
Distance to the lowest polymorph of the same formula ... 0.039 eV per atom
Crystal system ... orthorhombic



Li2AsOs: optimized geometry, GGA-PBEsol.

```
Li2AsOs
1.0
2.941 0.000 0.000
1.471 2.547 0.000
1.471 0.849 8.575
Os Li As
1 2 1
Cartesian
2.941 1.698 4.106
4.412 2.547 0.217
4.412 2.547 6.204
1.471 0.849 2.335
```

Summary:
Calculated formation energy ... 0.091 eV/atom
SG ... R3m
M_tot ... 0.0 μB/cell
Distance to the lowest polymorph of the same formula ... 0.216 eV per atom
Crystal system ... trigonal



Li2AsOs: optimized geometry, GGA-PBEsol.

```
Li2AsOs
1.0
-2.594 -0.421 1.375
2.922 -3.265 1.315
0.675 3.933 2.478
Os As Li
1 1 2
Cartesian
1.838 -1.769 2.925
-0.225 -0.581 2.597
0.671 3.601 2.370
1.356 1.420 2.994
```

Summary:
Calculated formation energy ... -0.125 eV/atom
SG ... Cm
M_tot ... 0.1 μB/cell
Distance to the lowest polymorph of the same formula ... 0.000 eV per atom
Crystal system ... monoclinic



LiAsOs: optimized geometry, GGA-PBEsol.

```
LiAsOs
1.0
-0.462 2.884 0.141
-2.047 -1.755 -1.133
-2.525 -0.680 5.616
As Li Os
1 1 1
Cartesian
-0.064 -0.017 0.143
-3.189 -0.659 3.007
-1.781 1.125 1.475
```

Summary:
Calculated formation energy ... 0.138 eV/atom
SG ... P3m1
M_tot ... 0.0 μB/cell
Crystal system ... trigonal



LiAs2Os: optimized geometry, GGA-PBEsol.

```
LiAs2Os
1.0
5.939 0.000 0.000
-2.970 6.041 0.017
0.000 2.905 5.180
As Os Li
4 2 2
Cartesian
-1.753 7.072 4.546
1.753 5.620 1.956
1.485 1.742 0.418
4.454 3.457 3.476
0.000 0.000 0.000
2.970 5.199 3.894
0.000 3.747 1.304
2.970 1.452 2.590
```

Summary:
Calculated formation energy ... 0.188 eV/atom
SG ... I-42d
M_tot ... 0.0 μB/cell
Distance to the lowest polymorph of the same formula ... 0.294 eV per atom
Crystal system ... tetragonal



LiAs2OsPt: optimized geometry, GGA-PBEsol.

```
LiAs2OsPt
1.0
4.067 0.000 0.000
0.000 4.287 0.000
0.000 0.000 4.287
As Li Os Pt
2 1 1 1
Cartesian
0.000 0.000 2.144
0.000 2.144 0.000
0.000 0.000 0.000
2.033 0.000 0.000
2.033 2.144 2.144
```

Summary:
Calculated formation energy ... 0.970 eV/atom
SG ... P4/mmm
M_tot ... 0.0 μB/cell
Crystal system ... tetragonal



LiAsOsSe2: optimized geometry, GGA-PBEsol.

```
LiAsOsSe2
1.0
4.221 0.000 0.000
0.000 4.419 0.000
0.000 0.000 4.419
As Li Se Os
1 1 2 1
Cartesian
2.110 0.000 0.000
0.000 0.000 0.000
0.000 2.209 0.000
0.000 0.000 2.209
2.110 2.209 2.209
```

Summary:
SG ... P4/mmm
Energy relative to the elements, uncorrected ... 5.3 eV per formula unit
M_tot ... 0.0 μB/cell
Crystal system ... tetragonal



LiSnAs2Os: optimized geometry, GGA-PBEsol.

```
LiSnAs2Os
1.0
-2.445 -3.413 -2.597
2.458 -3.767 2.638
-3.805 0.013 3.565
As Os Li Sn
2 1 1 1
Cartesian
-1.903 0.006 1.783
1.229 -1.884 1.319
-1.222 -1.707 -1.299
-1.896 -3.584 1.803
0.000 0.000 0.000
```

Summary:
Calculated formation energy ... 1.416 eV/atom
SG ... P4/mmm
M_tot ... 1.2 μB/cell
Crystal system ... tetragonal